1.
Here is crystalline Be2CuRe at its relaxed geometry from Alexandria. Energies are from PBE.

## Properties
energy of formation from the pure elements = 0.4326 eV per atom
space group = No. 122
E above lowest polymorph = 488 meV/atom

abc: 5.9950 5.9950 4.9339
angles: 52.59 52.59 90.00
Positions (direct):
Cu (0.5000, 0.5000, 0.0000)
Cu (0.2500, 0.7500, 0.5000)
Be (0.6012, 0.1250, 0.2500)
Be (0.3750, 0.3988, 0.7500)
Be (0.8750, 0.8512, 0.7500)
Be (0.1488, 0.6250, 0.2500)
Re (0.0000, 0.0000, 0.0000)
Re (0.7500, 0.2500, 0.5000)


2.
Here is crystalline BeCu2Re at its relaxed geometry from Alexandria. Energies are from PBE.

## Properties
energy of formation from the pure elements = 0.2042 eV per atom
space group = No. 123

abc: 3.9967 3.4333 3.4333
angles: 90.00 90.00 90.00
Positions (direct):
Re (0.5000, 0.5000, 0.0000)
Cu (0.0000, 0.5000, 0.5000)
Cu (0.0000, 0.0000, 0.0000)
Be (0.5000, 0.0000, 0.5000)


3.
Here is crystalline BeCuRe3 at its relaxed geometry from Alexandria. Energies are from PBE.

## Properties
energy of formation from the pure elements = 2.2883 eV per atom
space group = No. 221
E above lowest polymorph = 1320 meV/atom

abc: 4.4198 4.4198 4.4198
angles: 90.00 90.00 90.00
Positions (direct):
Be (0.5000, 0.5000, 0.5000)
Re (0.0000, 0.5000, 0.0000)
Re (0.5000, 0.0000, 0.0000)
Re (0.0000, 0.0000, 0.5000)
Cu (0.0000, 0.0000, 0.0000)


4.
Here is crystalline Be2CuRe at its relaxed geometry from Alexandria. Energies are from PBE.

## Properties
energy of formation from the pure elements = -0.0089 eV per atom
space group = No. 123
E above lowest polymorph = 46 meV/atom

abc: 2.6652 2.6652 6.0241
angles: 90.00 90.00 90.00
Positions (direct):
Be (0.0000, 0.0000, 0.4742)
Be (0.0000, 0.0000, 0.0258)
Re (0.5000, 0.5000, 0.7500)
Cu (0.5000, 0.5000, 0.2500)